First-principles (PBE+U) data for an optimized crystal structure of Cs2CuNi3F12, as listed in the Alexandria database.

Unit cell a=7.3434 b=7.3434 c=7.3434 alpha=59.20 beta=59.20 gamma=59.20
Last column: nearest neighbours and their distance in Å.
Sites, in units of the cell vectors:
F1 0.6794 0.0687 0.6794  2 Ni 1.95
Cs1 0.6234 0.6234 0.6234  6 F 3.13-3.16
F2 0.3206 0.3206 0.9313  2 Ni 1.95
F3 0.9313 0.3206 0.3206  2 Ni 1.95
F4 0.6858 0.0705 0.0705  1 Cu 1.92, 1 Ni 2.03
F5 0.3206 0.9313 0.3206  2 Ni 1.95
Ni1 0.5000 0.0000 0.0000  6 F 1.95-2.03
F6 0.6794 0.6794 0.0687  2 Ni 1.95
Cu1 0.0000 0.0000 0.0000  6 F 1.92
F7 0.0687 0.6794 0.6794  2 Ni 1.95
F8 0.0705 0.6858 0.0705  1 Cu 1.92, 1 Ni 2.03
F9 0.0705 0.0705 0.6858  1 Cu 1.92, 1 Ni 2.03
Ni2 0.0000 0.0000 0.5000  6 F 1.95-2.03
F10 0.9295 0.9295 0.3142  1 Cu 1.92, 1 Ni 2.03
F11 0.9295 0.3142 0.9295  1 Cu 1.92, 1 Ni 2.03
Ni3 0.0000 0.5000 0.0000  6 F 1.95-2.03
Cs2 0.3766 0.3766 0.3766  6 F 3.13-3.16
F12 0.3142 0.9295 0.9295  1 Cu 1.92, 1 Ni 2.03

Results
- uncorrected energy (eV per cell) = -73.75